(1)
The following is a DFT calculation (PBE) of a relaxed Hf2Ni4Pt crystal.

Unit cell a=4.5275 b=4.5275 c=12.6640 alpha=90.00 beta=90.00 gamma=90.00
Space group I4/mmm (No. 139)
Asymmetric unit:
Hf 0.0000 0.0000 0.1205 [4 per cell]
Ni 0.0000 0.0000 0.3047 [4 per cell]
Ni 0.0000 0.5000 0.0000 [4 per cell]
Pt 0.0000 0.0000 0.5000 [2 per cell]

Calculated values
**DOS(E_F)**: 10.6 states/eV per cell
**Offset from the most stable computed form**: 1.070 eV/atom

---

(2)
The following is a DFT calculation (PBE) of a relaxed HfNiPt2 crystal.

Unit cell a=3.8684 b=3.8684 c=18.0766 alpha=90.00 beta=90.00 gamma=90.00
Space group I-42d (No. 122)
Asymmetric unit:
Hf 0.0000 0.0000 0.0000 [4 per cell]
Ni 0.0000 0.0000 0.5000 [4 per cell]
Pt 0.2327 0.2500 0.6250 [8 per cell]

Calculated values
**DOS(E_F)**: 9.8 states/eV per cell

---

(3)
The following is a DFT calculation (PBE) of a relaxed HfNi4Pt7 crystal.

Unit cell a=4.8288 b=5.4698 c=7.1806 alpha=78.29 beta=71.29 gamma=89.37
Space group P-1 (No. 2)
Asymmetric unit:
Hf 0.0000 0.0000 0.0000 [1 per cell]
Ni 0.1660 0.4167 0.3339 [2 per cell]
Ni 0.3508 0.8295 0.6633 [2 per cell]
Pt 0.0000 0.5000 0.0000 [1 per cell]
Pt 0.1698 0.9151 0.3436 [2 per cell]
Pt 0.3205 0.3343 0.6610 [2 per cell]
Pt 0.4968 0.7465 0.9982 [2 per cell]

Calculated values
**DOS(E_F)**: 17.9 states/eV per cell

---

(4)
The following is a DFT calculation (PBE) of a relaxed HfNi2Pt4 crystal.

Unit cell a=4.6480 b=5.1959 c=5.2193 alpha=117.06 beta=91.58 gamma=90.85
Space group P-1 (No. 2)
Asymmetric unit:
Hf 0.0000 0.0000 0.0000 [1 per cell]
Ni 0.2551 0.5605 0.5695 [2 per cell]
Pt 0.0000 0.0000 0.5000 [1 per cell]
Pt 0.0000 0.5000 0.0000 [1 per cell]
Pt 0.4999 0.1863 0.8126 [2 per cell]

Calculated values
**DOS(E_F)**: 7.5 states/eV per cell

---

(5)
The following is a DFT calculation (PBE) of a relaxed HfNiPt3 crystal.

Unit cell a=4.4758 b=5.3643 c=7.0230 alpha=90.00 beta=90.00 gamma=90.00
Space group Pmmn (No. 59, origin choice 2)
Asymmetric unit:
Hf 0.2500 0.2500 0.2214 [2 per cell]
Ni 0.2500 0.7500 0.3304 [2 per cell]
Pt 0.2500 0.0085 0.6327 [4 per cell]
Pt 0.2500 0.7500 0.9900 [2 per cell]

Calculated values
**DOS(E_F)**: 9.9 states/eV per cell
**Offset from the most stable computed form**: 0.211 eV/atom

---

(6)
The following is a DFT calculation (PBE) of a relaxed Hf2Ni4Pt crystal.

Unit cell a=3.4800 b=3.4800 c=16.7816 alpha=90.00 beta=90.00 gamma=90.00
Space group I4/mmm (No. 139)
Asymmetric unit:
Hf 0.0000 0.0000 0.1001 [4 per cell]
Ni 0.0000 0.0000 0.3478 [4 per cell]
Ni 0.0000 0.5000 0.2500 [4 per cell]
Pt 0.0000 0.0000 0.5000 [2 per cell]

Calculated values
**DOS(E_F)**: 7.8 states/eV per cell
**Offset from the most stable computed form**: 0.000 eV/atom

---

(7)
The following is a DFT calculation (PBE) of a relaxed Hf2NiPt2 crystal.

Unit cell a=7.2522 b=7.2522 c=3.4265 alpha=90.00 beta=90.00 gamma=90.00
Space group P4/mbm (No. 127)
Asymmetric unit:
Hf 0.1691 0.3309 0.0000 [4 per cell]
Ni 0.0000 0.0000 0.5000 [2 per cell]
Pt 0.1360 0.6360 0.5000 [4 per cell]

Calculated values
**DOS(E_F)**: 5.2 states/eV per cell

---

(8)
The following is a DFT calculation (PBE) of a relaxed HfNi2Pt5 crystal.

Unit cell a=5.5340 b=11.1976 c=3.8966 alpha=90.00 beta=90.00 gamma=90.00
Space group Pbam (No. 55)
Asymmetric unit:
Hf 0.0000 0.0000 0.0000 [2 per cell]
Ni 0.2421 0.3722 0.5000 [4 per cell]
Pt 0.0000 0.5000 0.0000 [2 per cell]
Pt 0.0051 0.7568 0.0000 [4 per cell]
Pt 0.2497 0.1214 0.5000 [4 per cell]

Calculated values
**DOS(E_F)**: 18.4 states/eV per cell
**Offset from the most stable computed form**: 0.000 eV/atom

---

| no. | E (eV for the cell shown) |
| --- | --- |
| 1 | -90.7 |
| 2 | -118.1 |
| 3 | -79.3 |
| 4 | -47.5 |
| 5 | -72.9 |
| 6 | -105.7 |
| 7 | -83.3 |
| 8 | -111.4 |